[1]
# Li2HgOs

Li2HgOs after structural relaxation (PBE, Alexandria).

abc: 2.6148 4.4792 5.4311
angles: 90.00 103.67 90.00
Fractional positions:
Li: 0.0000 0.0000 0.0000
Li: 0.1130 0.5000 0.2542
Hg: 0.3740 0.5000 0.7573
Os: 0.7248 0.0000 0.4680

Properties
Space group = No. 6
ΔE_f = 0.272 eV per atom

---

[2]
# KIrSe2

KIrSe2 after structural relaxation (PBE, Alexandria).

abc: 5.1398 5.1398 3.0104
angles: 90.00 90.00 90.00
Fractional positions:
K: 0.0000 0.0000 0.0000
Ir: 0.5000 0.5000 0.0000
Se: 0.0000 0.5000 0.5000
Se: 0.5000 0.0000 0.5000

Properties
Space group = No. 123
Raw total energy = -3.951 eV/atom

---

[3]
# Si2TeSe

Si2TeSe after structural relaxation (PBE, Alexandria).

abc: 6.4622 6.4622 6.4622
angles: 144.71 144.71 50.77
Fractional positions:
Si: 0.0000 0.0000 0.0000
Si: 0.7500 0.2500 0.5000
Te: 0.2500 0.7500 0.5000
Se: 0.5000 0.5000 0.0000

Properties
Space group = No. 119
Polymorph energy (0 for the lowest one) = 0.6206 eV/atom

---

[4]
# PmSbIr4

PmSbIr4 after structural relaxation (PBE, Alexandria).

abc: 5.3837 5.3837 5.3837
angles: 60.00 60.00 60.00
Fractional positions:
Pm: 0.0000 0.0000 0.0000
Sb: 0.7500 0.7500 0.7500
Ir: 0.3754 0.3754 0.3754
Ir: 0.3754 0.3754 0.8736
Ir: 0.3754 0.8736 0.3754
Ir: 0.8736 0.3754 0.3754

Properties
Space group = No. 216
Raw total energy = -7.636 eV/atom

---

[5]
# U2TlSe3

U2TlSe3 after structural relaxation (PBE, Alexandria).

abc: 7.8199 3.9001 11.0166
angles: 90.00 105.23 90.00
Fractional positions:
U: 0.0072 0.2500 0.1796
U: 0.2598 0.7500 0.5229
U: 0.7402 0.2500 0.4771
U: 0.9928 0.7500 0.8204
Tl: 0.4911 0.2500 0.8366
Tl: 0.5089 0.7500 0.1634
Se: 0.0905 0.2500 0.6517
Se: 0.1990 0.2500 0.9915
Se: 0.3552 0.2500 0.3567
Se: 0.6448 0.7500 0.6433
Se: 0.8010 0.7500 0.0085
Se: 0.9095 0.7500 0.3483

Properties
Space group = No. 11
Raw total energy = -6.727 eV/atom

---

[6]
# Y8GeTe4As3

Y8GeTe4As3 after structural relaxation (PBE, Alexandria).

abc: 8.5981 8.5981 8.5981
angles: 58.77 58.77 58.77
Fractional positions:
Y: 0.2394 0.2394 0.2394
Y: 0.2422 0.7383 0.7383
Y: 0.2617 0.2617 0.7578
Y: 0.2617 0.7578 0.2617
Y: 0.7383 0.2422 0.7383
Y: 0.7383 0.7383 0.2422
Y: 0.7578 0.2617 0.2617
Y: 0.7606 0.7606 0.7606
Ge: 0.5000 0.5000 0.5000
Te: 0.0000 0.0000 0.0000
Te: 0.0000 0.5000 0.5000
Te: 0.5000 0.0000 0.5000
Te: 0.5000 0.5000 0.0000
As: 0.0000 0.0000 0.5000
As: 0.0000 0.5000 0.0000
As: 0.5000 0.0000 0.0000

Properties
Space group = No. 166
Raw total energy = -6.630 eV/atom